1 | Entry from Alexandria via LeMat-Bulk: an optimized crystal structure of Nb2HgAs2 (GGA-PBE).

a b c (Å): 7.438 7.438 3.367
angles (deg): 90.00 90.00 90.00
Atoms (fractional coordinates):
As 0.854 0.354 0.500
As 0.146 0.646 0.500
As 0.354 0.146 0.500
As 0.646 0.854 0.500
Nb 0.142 0.358 0.000
Nb 0.642 0.142 0.000
Nb 0.358 0.858 0.000
Nb 0.858 0.642 0.000
Hg 0.000 0.000 0.000
Hg 0.500 0.500 0.000

---

2 | Entry from Alexandria via LeMat-Bulk: an optimized crystal structure of Nb2HgAs2 (GGA-PBE).

a b c (Å): 7.531 7.531 3.267
angles (deg): 90.00 90.00 90.00
Atoms (fractional coordinates):
As 0.860 0.640 0.000
As 0.640 0.140 0.000
As 0.360 0.860 0.000
As 0.140 0.360 0.000
Hg 0.000 0.000 0.000
Hg 0.500 0.500 0.000
Nb 0.148 0.648 0.500
Nb 0.352 0.148 0.500
Nb 0.852 0.352 0.500
Nb 0.648 0.852 0.500

---

Which structure is most stable? 1, by 214 meV/atom over the runner-up.

---

1 | Entry from Alexandria via LeMat-Bulk: an optimized crystal structure of NbHgAs2Se (GGA-PBE).

a b c (Å): 5.090 5.090 4.994
angles (deg): 90.00 90.00 90.00
Atoms (fractional coordinates):
Se 0.000 0.000 0.500
As 0.500 0.000 0.000
As 0.000 0.500 0.000
Hg 0.500 0.500 0.500
Nb 0.000 0.000 0.000

---

2 | Entry from Alexandria via LeMat-Bulk: an optimized crystal structure of NbHgAs2Se (GGA-PBE).

a b c (Å): 5.045 5.045 5.081
angles (deg): 90.00 90.00 90.00
Atoms (fractional coordinates):
As 0.500 0.000 0.000
As 0.000 0.500 0.000
Hg 0.000 0.000 0.000
Nb 0.500 0.500 0.500
Se 0.000 0.000 0.500

---

Which structure is most stable? 1, by 1256 meV/atom over the runner-up.